# 1
VASP calculation (PBE) on a relaxed structure of AlHgAu2.

Properties
The value obtained for the density of states at the Fermi level is 1.58 states/eV/f.u. The calculation puts the total energy at -2.69 eV/atom. The calculation puts the formation energy at -0.0423 eV per atom.

Geometry as CIF:
```
data_AlHgAu2
_symmetry_space_group_name_H-M 'R 3 m'
_symmetry_Int_Tables_number 160
_symmetry_space_group_name_Hall 'R 3 -2"'
_cell_length_a 3.2234
_cell_length_b 3.2234
_cell_length_c 25.6427
_cell_angle_alpha 90.00
_cell_angle_beta 90.00
_cell_angle_gamma 120.00
loop_
_atom_site_label
_atom_site_type_symbol
_atom_site_fract_x
_atom_site_fract_y
_atom_site_fract_z
Al1 Al 0.0000 0.0000 0.0000
Hg1 Hg 0.0000 0.0000 0.2477
Au1 Au 0.0000 0.0000 0.4909
Au2 Au 0.0000 0.0000 0.7372
```



# 2
VASP calculation (PBE) on a relaxed structure of Al3HgAu.

Properties
The value obtained for the density of states at the Fermi level is 3.15 states/eV/f.u. The calculation puts the total energy at -2.77 eV/atom. The calculation puts the formation energy at 0.1927 eV per atom.

Geometry as CIF:
```
data_Al3HgAu
_symmetry_space_group_name_H-M 'P m -3 m'
_symmetry_Int_Tables_number 221
_symmetry_space_group_name_Hall '-P 4 2 3'
_cell_length_a 4.924
_cell_length_b 4.924
_cell_length_c 4.924
_cell_angle_alpha 90.00
_cell_angle_beta 90.00
_cell_angle_gamma 90.00
loop_
_atom_site_label
_atom_site_type_symbol
_atom_site_fract_x
_atom_site_fract_y
_atom_site_fract_z
Al1 Al 0.000 0.000 0.500
Hg1 Hg 0.500 0.500 0.500
Au1 Au 0.000 0.000 0.000
```



# 3
VASP calculation (PBE) on a relaxed structure of AlHg2Au2.

Properties
The value obtained for the density of states at the Fermi level is 1.99 states/eV/f.u. The calculation puts the total energy at -2.00 eV/atom. The calculation puts the formation energy at 0.1785 eV per atom.

Geometry as CIF:
```
data_AlHg2Au2
_symmetry_space_group_name_H-M 'I 4/m m m'
_symmetry_Int_Tables_number 139
_symmetry_space_group_name_Hall '-I 4 2'
_cell_length_a 3.969
_cell_length_b 3.969
_cell_length_c 14.197
_cell_angle_alpha 90.00
_cell_angle_beta 90.00
_cell_angle_gamma 90.00
loop_
_atom_site_label
_atom_site_type_symbol
_atom_site_fract_x
_atom_site_fract_y
_atom_site_fract_z
Al1 Al 0.000 0.000 0.000
Hg1 Hg 0.000 0.500 0.250
Au1 Au 0.000 0.000 0.407
```



# 4
VASP calculation (PBE) on a relaxed structure of AlHgAu.

Properties
The value obtained for the density of states at the Fermi level is 0.63 states/eV/f.u. The calculation puts the total energy at -2.52 eV/atom. The calculation puts the formation energy at -0.0818 eV per atom.

Geometry as CIF:
```
data_AlHgAu
_symmetry_space_group_name_H-M 'P 3 m 1'
_symmetry_Int_Tables_number 156
_cell_length_a 3.2644
_cell_length_b 3.2644
_cell_length_c 6.3963
_cell_angle_alpha 90.00
_cell_angle_beta 90.00
_cell_angle_gamma 120.00
loop_
_symmetry_equiv_pos_as_xyz
'x,y,z'
'-y,x-y,z'
'-x+y,-x,z'
'-y,-x,z'
'-x+y,y,z'
'x,x-y,z'
loop_
_atom_site_label
_atom_site_type_symbol
_atom_site_fract_x
_atom_site_fract_y
_atom_site_fract_z
Al1 Al 0.0000 0.0000 0.0000
Hg1 Hg 0.3333 0.6667 0.6546
Au1 Au 0.6667 0.3333 0.2804
```



# 5
VASP calculation (PBE) on a relaxed structure of AlHg2Au2.

Properties
The value obtained for the density of states at the Fermi level is 1.87 states/eV/f.u. The calculation puts the total energy at -2.15 eV/atom. The calculation puts the formation energy at 0.0338 eV per atom.

Geometry as CIF:
```
data_AlHg2Au2
_symmetry_space_group_name_H-M 'P 4/m b m'
_symmetry_Int_Tables_number 127
_symmetry_space_group_name_Hall '-P 4 2ab'
_cell_length_a 6.864
_cell_length_b 6.864
_cell_length_c 4.511
_cell_angle_alpha 90.00
_cell_angle_beta 90.00
_cell_angle_gamma 90.00
loop_
_atom_site_label
_atom_site_type_symbol
_atom_site_fract_x
_atom_site_fract_y
_atom_site_fract_z
Al1 Al 0.000 0.000 0.000
Hg1 Hg 0.161 0.339 0.500
Au1 Au 0.152 0.652 0.000
```



# 6
VASP calculation (PBE) on a relaxed structure of AlHgAu2.

Properties
The value obtained for the density of states at the Fermi level is 0.96 states/eV/f.u. The calculation puts the total energy at -2.67 eV/atom. The calculation puts the formation energy at -0.0176 eV per atom.

Geometry as CIF:
```
data_AlHgAu2
_symmetry_space_group_name_H-M 'C m m m'
_symmetry_Int_Tables_number 65
_symmetry_space_group_name_Hall '-C 2 2'
_cell_length_a 5.851
_cell_length_b 7.203
_cell_length_c 3.578
_cell_angle_alpha 90.00
_cell_angle_beta 90.00
_cell_angle_gamma 90.00
loop_
_atom_site_label
_atom_site_type_symbol
_atom_site_fract_x
_atom_site_fract_y
_atom_site_fract_z
Al1 Al 0.000 0.000 0.000
Hg1 Hg 0.000 0.500 0.000
Au1 Au 0.250 0.250 0.500
```



# 7
VASP calculation (PBE) on a relaxed structure of AlHgAu3.

Properties
The value obtained for the density of states at the Fermi level is 1.88 states/eV/f.u. The calculation puts the total energy at -2.53 eV/atom. The calculation puts the formation energy at 0.2448 eV per atom.

Geometry as CIF:
```
data_AlHgAu3
_symmetry_space_group_name_H-M 'P m -3 m'
_symmetry_Int_Tables_number 221
_symmetry_space_group_name_Hall '-P 4 2 3'
_cell_length_a 4.904
_cell_length_b 4.904
_cell_length_c 4.904
_cell_angle_alpha 90.00
_cell_angle_beta 90.00
_cell_angle_gamma 90.00
loop_
_atom_site_label
_atom_site_type_symbol
_atom_site_fract_x
_atom_site_fract_y
_atom_site_fract_z
Al1 Al 0.000 0.000 0.000
Hg1 Hg 0.500 0.500 0.500
Au1 Au 0.000 0.000 0.500
```



# 8
VASP calculation (PBE) on a relaxed structure of Al2HgAu.

Properties
The value obtained for the density of states at the Fermi level is 0.99 states/eV/f.u. The calculation puts the total energy at -2.73 eV/atom. The calculation puts the formation energy at 0.0403 eV per atom.

Geometry as CIF:
```
data_Al2HgAu
_symmetry_space_group_name_H-M 'C m m m'
_symmetry_Int_Tables_number 65
_symmetry_space_group_name_Hall '-C 2 2'
_cell_length_a 6.218
_cell_length_b 7.882
_cell_length_c 3.036
_cell_angle_alpha 90.00
_cell_angle_beta 90.00
_cell_angle_gamma 90.00
loop_
_atom_site_label
_atom_site_type_symbol
_atom_site_fract_x
_atom_site_fract_y
_atom_site_fract_z
Al1 Al 0.250 0.250 0.000
Hg1 Hg 0.000 0.000 0.500
Au1 Au 0.000 0.500 0.500
```



# 9
VASP calculation (PBE) on a relaxed structure of Al2HgAu.

Properties
The value obtained for the density of states at the Fermi level is 0.69 states/eV/f.u. The calculation puts the total energy at -2.79 eV/atom. The calculation puts the formation energy at -0.0192 eV per atom.

Geometry as CIF:
```
data_Al2HgAu
_symmetry_space_group_name_H-M 'C m m m'
_symmetry_Int_Tables_number 65
_symmetry_space_group_name_Hall '-C 2 2'
_cell_length_a 4.288
_cell_length_b 4.407
_cell_length_c 7.991
_cell_angle_alpha 90.00
_cell_angle_beta 90.00
_cell_angle_gamma 90.00
loop_
_atom_site_label
_atom_site_type_symbol
_atom_site_fract_x
_atom_site_fract_y
_atom_site_fract_z
Al1 Al 0.000 0.000 0.221
Hg1 Hg 0.000 0.500 0.500
Au1 Au 0.000 0.500 0.000
```



# 10
VASP calculation (PBE) on a relaxed structure of Al3HgAu3.

Properties
The value obtained for the density of states at the Fermi level is 4.16 states/eV/f.u. The calculation puts the total energy at -3.02 eV/atom. The calculation puts the formation energy at 0.0285 eV per atom.

Geometry as CIF:
```
data_Al3HgAu3
_symmetry_space_group_name_H-M 'P m -3 n'
_symmetry_Int_Tables_number 223
_symmetry_space_group_name_Hall '-P 4n 2 3'
_cell_length_a 7.112
_cell_length_b 7.112
_cell_length_c 7.112
_cell_angle_alpha 90.00
_cell_angle_beta 90.00
_cell_angle_gamma 90.00
loop_
_atom_site_label
_atom_site_type_symbol
_atom_site_fract_x
_atom_site_fract_y
_atom_site_fract_z
Al1 Al 0.000 0.250 0.500
Hg1 Hg 0.000 0.000 0.000
Au1 Au 0.000 0.500 0.250
```



- What is the formula in the fifth record?
  AlHg2Au2